TmCr4Cu3O12: relaxed, PBE+U.

* magnetization: 0.601 μB per atom
* final energy: -0.509 Ry/atom
* DOS at the Fermi energy: 0.197 states/eV/atom

```
TmCr4Cu3O12
1.0
6.3927 0.0000 0.0000
-2.1309 6.0271 0.0000
-2.1309 -3.0135 5.2196
Tm Cr Cu O
1 4 3 12
direct
0.0000 0.0000 0.0000 Tm
0.5000 0.0000 0.0000 Cr
0.5000 0.5000 0.5000 Cr
0.0000 0.5000 0.0000 Cr
0.0000 0.0000 0.5000 Cr
0.0000 0.5000 0.5000 Cu
0.5000 0.5000 0.0000 Cu
0.5000 0.0000 0.5000 Cu
0.3051 0.8346 0.1397 O
0.6949 0.1654 0.8603 O
0.6949 0.8346 0.5295 O
0.8603 0.6949 0.1654 O
0.8346 0.1397 0.3051 O
0.1654 0.4705 0.3051 O
0.4705 0.3051 0.1654 O
0.1654 0.8603 0.6949 O
0.3051 0.1654 0.4705 O
0.1397 0.3051 0.8346 O
0.8346 0.5295 0.6949 O
0.5295 0.6949 0.8346 O
```